# 1
Here is an optimized crystal structure of HoTcGe from Alexandria via LeMat-Bulk. Energies are from PBE.

Values from the calculation:
DFT formation energy (eV/atom): -0.56
Total DFT energy (no corrections) (eV per cell): -42.45
Polymorph energy (0 for the lowest one) (meV per atom): 0
Size of the total moment (μB per cell): 0.00
Symmetry: I4/mmm

a = 7.6632 Å, b = 7.6632 Å, c = 7.6632 Å
α = 149.21°, β = 149.21°, γ = 44.10°
With the nearest neighbours (Å) after each atom.
Positions (direct):
Ho 0.1595 0.1595 0.0000  5 Ge 2.93-3.14, 4 Tc 3.04
Ho 0.8405 0.8405 0.0000  5 Ge 2.93-3.14, 4 Tc 3.04
Tc 0.0000 0.5000 0.5000  4 Ge 2.65, 4 Tc 2.88
Tc 0.5000 0.0000 0.5000  4 Ge 2.65, 4 Tc 2.88
Ge 0.3803 0.3803 0.0000  4 Tc 2.65, 4 Ho 2.93
Ge 0.6197 0.6197 0.0000  4 Tc 2.65, 4 Ho 2.93

***

# 2
Here is an optimized crystal structure of HoTc6Ge8 from Alexandria via LeMat-Bulk. Energies are from PBE.

Values from the calculation:
DFT formation energy (eV/atom): -0.02
Total DFT energy (no corrections) (eV per cell): -103.94
Size of the total moment (μB per cell): 0.00
Symmetry: R-3

a = 6.5220 Å, b = 6.5220 Å, c = 6.5220 Å
α = 84.13°, β = 84.13°, γ = 84.13°
With the nearest neighbours (Å) after each atom.
Positions (direct):
Ho 0.0000 0.0000 0.0000  8 Ge 2.92-3.06
Tc 0.2270 0.5787 0.4142  5 Ge 2.51-2.67, 4 Tc 2.66-2.78
Tc 0.4142 0.2270 0.5787  5 Ge 2.51-2.67, 4 Tc 2.66-2.78
Tc 0.4213 0.5858 0.7730  5 Ge 2.51-2.67, 4 Tc 2.66-2.78
Tc 0.5787 0.4142 0.2270  5 Ge 2.51-2.67, 4 Tc 2.66-2.78
Tc 0.5858 0.7730 0.4213  5 Ge 2.51-2.67, 4 Tc 2.66-2.78
Tc 0.7730 0.4213 0.5858  5 Ge 2.51-2.67, 4 Tc 2.66-2.78
Ge 0.0870 0.4240 0.7791  4 Tc 2.51-2.67
Ge 0.2209 0.9130 0.5760  4 Tc 2.51-2.67
Ge 0.2355 0.2355 0.2355  3 Tc 2.62, 3 Ge 2.90, 1 Ho 2.92
Ge 0.4240 0.7791 0.0870  4 Tc 2.51-2.67
Ge 0.5760 0.2209 0.9130  4 Tc 2.51-2.67
Ge 0.7645 0.7645 0.7645  3 Tc 2.62, 3 Ge 2.90, 1 Ho 2.92
Ge 0.7791 0.0870 0.4240  4 Tc 2.51-2.67
Ge 0.9130 0.5760 0.2209  4 Tc 2.51-2.67

***

# 3
Here is an optimized crystal structure of HoTc4Ge12 from Alexandria via LeMat-Bulk. Energies are from PBE.

Values from the calculation:
DFT formation energy (eV/atom): 0.19
Total DFT energy (no corrections) (eV per cell): -98.14
Size of the total moment (μB per cell): 0.00
Symmetry: Im-3

a = 7.6144 Å, b = 7.6144 Å, c = 7.6144 Å
α = 109.47°, β = 109.47°, γ = 109.47°
With the nearest neighbours (Å) after each atom.
Positions (direct):
Ho 0.0000 0.0000 0.0000  12 Ge 3.27
Tc 0.0000 0.0000 0.5000  6 Ge 2.47
Tc 0.0000 0.5000 0.0000  6 Ge 2.47
Tc 0.5000 0.0000 0.0000  6 Ge 2.47
Tc 0.5000 0.5000 0.5000  6 Ge 2.47
Ge 0.1562 0.4932 0.3371  2 Tc 2.47, 1 Ge 2.75
Ge 0.1562 0.8191 0.6629  2 Tc 2.47, 1 Ge 2.75
Ge 0.1809 0.3371 0.8438  2 Tc 2.47, 1 Ge 2.75
Ge 0.3371 0.1562 0.4932  2 Tc 2.47, 1 Ge 2.75
Ge 0.3371 0.8438 0.1809  2 Tc 2.47, 1 Ge 2.75
Ge 0.4932 0.3371 0.1562  2 Tc 2.47, 1 Ge 2.75
Ge 0.5068 0.6629 0.8438  2 Tc 2.47, 1 Ge 2.75
Ge 0.6629 0.1562 0.8191  2 Tc 2.47, 1 Ge 2.75
Ge 0.6629 0.8438 0.5068  2 Tc 2.47, 1 Ge 2.75
Ge 0.8191 0.6629 0.1562  2 Tc 2.47, 1 Ge 2.75
Ge 0.8438 0.1809 0.3371  2 Tc 2.47, 1 Ge 2.75
Ge 0.8438 0.5068 0.6629  2 Tc 2.47, 1 Ge 2.75

***

# 4
Here is an optimized crystal structure of HoTcGe2 from Alexandria via LeMat-Bulk. Energies are from PBE.

Values from the calculation:
DFT formation energy (eV/atom): -0.35
Total DFT energy (no corrections) (eV per cell): -25.60
Polymorph energy (0 for the lowest one) (meV per atom): 150
Size of the total moment (μB per cell): 0.00
Symmetry: P4/mmm

a = 3.2284 Å, b = 3.2284 Å, c = 6.8441 Å
α = 90.00°, β = 90.00°, γ = 90.00°
With the nearest neighbours (Å) after each atom.
Positions (direct):
Ho 0.0000 0.0000 0.0000  8 Ge 3.06, 4 Ho 3.23, 2 Tc 3.42
Tc 0.0000 0.0000 0.5000  8 Ge 2.67
Ge 0.5000 0.5000 0.2977  4 Tc 2.67, 1 Ge 2.77
Ge 0.5000 0.5000 0.7023  4 Tc 2.67, 1 Ge 2.77

***

# 5
Here is an optimized crystal structure of HoTc4Ge4 from Alexandria via LeMat-Bulk. Energies are from PBE.

Values from the calculation:
DFT formation energy (eV/atom): -0.13
Total DFT energy (no corrections) (eV per cell): -131.33
Size of the total moment (μB per cell): 0.00
Symmetry: P4_2/n

a = 8.2404 Å, b = 8.2404 Å, c = 4.7834 Å
α = 90.00°, β = 90.00°, γ = 90.00°
With the nearest neighbours (Å) after each atom.
Positions (direct):
Ho 0.2500 0.2500 0.2500  4 Tc 3.19, 8 Ge 3.34-3.43
Ho 0.7500 0.7500 0.7500  4 Tc 3.19, 8 Ge 3.34-3.43
Tc 0.1186 0.8572 0.6689  5 Ge 2.44-2.65
Tc 0.1428 0.6186 0.1689  5 Ge 2.44-2.65
Tc 0.3572 0.8814 0.1689  5 Ge 2.44-2.65
Tc 0.3814 0.6428 0.6689  5 Ge 2.44-2.65
Tc 0.6186 0.3572 0.3311  5 Ge 2.44-2.65
Tc 0.6428 0.1186 0.8311  5 Ge 2.44-2.65
Tc 0.8572 0.3814 0.8311  5 Ge 2.44-2.65
Tc 0.8814 0.1428 0.3311  5 Ge 2.44-2.65
Ge 0.0359 0.8953 0.1778  5 Tc 2.44-2.65, 1 Ge 2.49
Ge 0.1047 0.5359 0.6778  5 Tc 2.44-2.65, 1 Ge 2.49
Ge 0.3953 0.9641 0.6778  5 Tc 2.44-2.65, 1 Ge 2.49
Ge 0.4641 0.6047 0.1778  5 Tc 2.44-2.65, 1 Ge 2.49
Ge 0.5359 0.3953 0.8222  5 Tc 2.44-2.65, 1 Ge 2.49
Ge 0.6047 0.0359 0.3222  5 Tc 2.44-2.65, 1 Ge 2.49
Ge 0.8953 0.4641 0.3222  5 Tc 2.44-2.65, 1 Ge 2.49
Ge 0.9641 0.1047 0.8222  5 Tc 2.44-2.65, 1 Ge 2.49

***

# 6
Here is an optimized crystal structure of Ho3Ge5Te12 from Alexandria via LeMat-Bulk. Energies are from PBE.

Values from the calculation:
Total DFT energy (no corrections) (eV per cell): -335.64
Size of the total moment (μB per cell): 0.00
Symmetry: Ia-3d

a = 15.0012 Å, b = 15.0012 Å, c = 15.0012 Å
α = 109.47°, β = 109.47°, γ = 109.47°
With the nearest neighbours (Å) after each atom.
Positions (direct):
Ho 0.1250 0.2500 0.3750  8 Te 3.24-3.27
Ho 0.1250 0.3750 0.7500  8 Te 3.24-3.27
Ho 0.2500 0.3750 0.1250  8 Te 3.24-3.27
Ho 0.2500 0.8750 0.6250  8 Te 3.24-3.27
Ho 0.3750 0.1250 0.2500  8 Te 3.24-3.27
Ho 0.3750 0.7500 0.1250  8 Te 3.24-3.27
Ho 0.6250 0.2500 0.8750  8 Te 3.24-3.27
Ho 0.6250 0.8750 0.7500  8 Te 3.24-3.27
Ho 0.7500 0.1250 0.3750  8 Te 3.24-3.27
Ho 0.7500 0.6250 0.8750  8 Te 3.24-3.27
Ho 0.8750 0.6250 0.2500  8 Te 3.24-3.27
Ho 0.8750 0.7500 0.6250  8 Te 3.24-3.27
Ge 0.0000 0.0000 0.0000  6 Te 2.91
Ge 0.0000 0.0000 0.5000  6 Te 2.91
Ge 0.0000 0.5000 0.0000  6 Te 2.91
Ge 0.0000 0.5000 0.5000  6 Te 2.91
Ge 0.1250 0.7500 0.8750  4 Te 2.70
Ge 0.1250 0.8750 0.2500  4 Te 2.70
Ge 0.2500 0.1250 0.8750  4 Te 2.70
Ge 0.2500 0.6250 0.3750  4 Te 2.70
Ge 0.3750 0.2500 0.6250  4 Te 2.70
Ge 0.3750 0.6250 0.7500  4 Te 2.70
Ge 0.5000 0.0000 0.0000  6 Te 2.91
Ge 0.5000 0.0000 0.5000  6 Te 2.91
Ge 0.5000 0.5000 0.0000  6 Te 2.91
Ge 0.5000 0.5000 0.5000  6 Te 2.91
Ge 0.6250 0.3750 0.2500  4 Te 2.70
Ge 0.6250 0.7500 0.3750  4 Te 2.70
Ge 0.7500 0.3750 0.6250  4 Te 2.70
Ge 0.7500 0.8750 0.1250  4 Te 2.70
Ge 0.8750 0.1250 0.7500  4 Te 2.70
Ge 0.8750 0.2500 0.1250  4 Te 2.70
Te 0.0431 0.2179 0.1320  2 Ge 2.70-2.91
Te 0.0431 0.3252 0.9112  2 Ge 2.70-2.91
Te 0.0859 0.7179 0.6748  2 Ge 2.70-2.91
Te 0.0859 0.8680 0.4112  2 Ge 2.70-2.91
Te 0.0888 0.6320 0.4141  2 Ge 2.70-2.91
Te 0.0888 0.9569 0.6748  2 Ge 2.70-2.91
Te 0.1320 0.0431 0.2179  2 Ge 2.70-2.91
Te 0.1320 0.5888 0.9141  2 Ge 2.70-2.91
Te 0.1748 0.2179 0.5859  2 Ge 2.70-2.91
Te 0.1748 0.4569 0.5888  2 Ge 2.70-2.91
Te 0.2179 0.1320 0.0431  2 Ge 2.70-2.91
Te 0.2179 0.5859 0.1748  2 Ge 2.70-2.91
Te 0.2821 0.3252 0.9141  2 Ge 2.70-2.91
Te 0.2821 0.4569 0.3680  2 Ge 2.70-2.91
Te 0.3252 0.9112 0.0431  2 Ge 2.70-2.91
Te 0.3252 0.9141 0.2821  2 Ge 2.70-2.91
Te 0.3680 0.2821 0.4569  2 Ge 2.70-2.91
Te 0.3680 0.5859 0.9112  2 Ge 2.70-2.91
Te 0.4112 0.0859 0.8680  2 Ge 2.70-2.91
Te 0.4112 0.8252 0.5431  2 Ge 2.70-2.91
Te 0.4141 0.0888 0.6320  2 Ge 2.70-2.91
Te 0.4141 0.8252 0.7821  2 Ge 2.70-2.91
Te 0.4569 0.3680 0.2821  2 Ge 2.70-2.91
Te 0.4569 0.5888 0.1748  2 Ge 2.70-2.91
Te 0.5431 0.4112 0.8252  2 Ge 2.70-2.91
Te 0.5431 0.6320 0.7179  2 Ge 2.70-2.91
Te 0.5859 0.1748 0.2179  2 Ge 2.70-2.91
Te 0.5859 0.9112 0.3680  2 Ge 2.70-2.91
Te 0.5888 0.1748 0.4569  2 Ge 2.70-2.91
Te 0.5888 0.9141 0.1320  2 Ge 2.70-2.91
Te 0.6320 0.4141 0.0888  2 Ge 2.70-2.91
Te 0.6320 0.7179 0.5431  2 Ge 2.70-2.91
Te 0.6748 0.0859 0.7179  2 Ge 2.70-2.91
Te 0.6748 0.0888 0.9569  2 Ge 2.70-2.91
Te 0.7179 0.5431 0.6320  2 Ge 2.70-2.91
Te 0.7179 0.6748 0.0859  2 Ge 2.70-2.91
Te 0.7821 0.4141 0.8252  2 Ge 2.70-2.91
Te 0.7821 0.8680 0.9569  2 Ge 2.70-2.91
Te 0.8252 0.5431 0.4112  2 Ge 2.70-2.91
Te 0.8252 0.7821 0.4141  2 Ge 2.70-2.91
Te 0.8680 0.4112 0.0859  2 Ge 2.70-2.91
Te 0.8680 0.9569 0.7821  2 Ge 2.70-2.91
Te 0.9112 0.0431 0.3252  2 Ge 2.70-2.91
Te 0.9112 0.3680 0.5859  2 Ge 2.70-2.91
Te 0.9141 0.1320 0.5888  2 Ge 2.70-2.91
Te 0.9141 0.2821 0.3252  2 Ge 2.70-2.91
Te 0.9569 0.6748 0.0888  2 Ge 2.70-2.91
Te 0.9569 0.7821 0.8680  2 Ge 2.70-2.91